# 1
PBE Na3Nd9B8O27, relaxed; formation energy from raw total energies = -2.94 eV/atom
1.0
8.8368 0.0000 0.0000
-4.4184 7.6529 0.0000
0.0000 0.0000 8.5576
Nd B O Na
9 8 27 3
Cartesian
-2.8731 4.9764 6.5426
5.7462 0.0000 2.0149
1.5453 2.6766 6.5426
2.4849 0.0000 4.2788
-2.8731 4.9764 2.0149
5.7462 0.0000 6.5426
3.1759 5.5009 4.2788
1.5453 2.6766 2.0149
-1.2425 2.1520 4.2788
0.0000 0.0000 1.8226
4.4184 2.5510 0.0000
0.0000 0.0000 6.7350
0.0000 5.1019 5.7753
4.4184 2.5510 2.7823
0.0000 5.1019 2.7823
4.4184 2.5510 5.7753
0.0000 5.1019 0.0000
3.7183 3.7337 2.7260
3.7244 6.4509 1.8419
6.5661 0.0000 4.2788
1.1354 1.9665 4.2788
-0.6940 1.2020 6.7157
-0.7002 3.9192 5.8316
5.1937 1.3839 0.0000
3.7244 6.4509 6.7157
3.7442 1.3532 2.7260
3.0200 2.4631 0.0000
-0.7002 3.9192 2.7260
1.3879 0.0000 1.8419
-0.6940 1.2020 1.8419
-1.3984 5.1898 0.0000
-0.6742 6.2997 2.7260
-0.6742 6.2997 5.8316
-3.2830 5.6864 4.2788
3.7183 3.7337 5.8316
5.7928 2.5659 5.8316
3.7442 1.3532 5.8316
5.0415 3.8059 0.0000
1.3879 0.0000 6.7157
1.3744 5.0870 5.8316
0.6231 3.8470 0.0000
5.7928 2.5659 2.7260
1.3744 5.0870 2.7260
0.7753 6.2691 0.0000
2.9461 5.1028 0.0000
-1.4723 2.5501 0.0000
2.9446 0.0000 0.0000

# 2
PBE Na3NdB2O6, relaxed; formation energy from raw total energies = -2.46 eV/atom
1.0
-4.8241 -6.3028 3.9810
-1.1516 -2.8605 -5.9243
7.3276 -8.5335 -4.6309
Na B O Nd
12 8 24 4
Cartesian
1.5403 -14.7148 -2.8284
-0.2978 -8.0628 -2.0195
4.8491 -9.1705 -4.0361
4.3638 -11.2794 -6.3298
1.6497 -9.6340 -4.5547
0.0241 -11.5043 -2.0419
0.3345 -12.5737 -4.9922
-3.4973 -8.5264 -2.5381
-0.1885 -2.9820 -3.7458
1.0174 -5.1232 -1.5820
1.3277 -6.1925 -4.5323
-3.0120 -6.4174 -0.2444
-1.5921 -5.3611 -2.5021
-2.1636 -9.9552 -0.5653
0.9223 -15.7948 -5.4792
3.5155 -7.7416 -6.0089
2.9439 -12.3357 -4.0722
2.3612 -8.4318 -1.9811
-1.0094 -9.2650 -4.5931
0.4295 -1.9020 -1.0950
2.7684 -12.9612 -5.2804
2.1792 -16.0440 -6.0036
4.0847 -11.5517 -3.8002
-0.1558 -8.1853 -4.7697
3.3606 -9.1240 -6.0879
-2.3417 -10.5840 -1.7714
1.5077 -9.5116 -1.8046
-0.6279 -5.2814 -3.5045
2.6557 -4.3651 -3.3289
1.1493 -3.0204 -0.6474
-2.3849 -9.0034 -4.4996
-0.8274 -1.6528 -0.5707
3.7367 -8.6935 -2.0746
-0.5577 -10.5663 -4.4530
1.9797 -12.4155 -3.0697
-2.0088 -8.5729 -0.4863
-1.3039 -13.3317 -3.2454
-2.7329 -6.1451 -2.7741
3.6935 -7.1128 -4.8028
-1.4166 -4.7357 -1.2939
1.9095 -7.1306 -2.1213
-3.8255 -7.4258 1.8885
5.1773 -10.2710 -8.4628
0.2025 -14.6764 -5.9269
-0.8171 -3.7036 0.7861
-2.8046 -11.4376 -3.9641
4.1564 -6.2592 -2.6102
2.1690 -13.9932 -7.3604

# 3
PBE Na2NdB2O6, relaxed; formation energy from raw total energies = -2.33 eV/atom
1.0
5.3970 0.0000 0.0000
-2.6985 4.6739 0.0000
0.0000 0.0000 6.3329
O Nd B Na
6 1 2 2
Cartesian
3.5141 0.4478 1.3980
1.3292 1.4067 1.3980
-0.5537 1.8545 4.9349
3.2521 2.8194 1.3980
1.3693 3.2672 4.9349
-0.8156 4.2261 4.9349
0.0000 0.0000 0.0000
2.6985 1.5580 1.3589
0.0000 3.1159 4.9740
2.6985 1.5580 4.0943
0.0000 3.1159 2.2386

# 4
PBE Na2NdBO4, relaxed; formation energy from raw total energies = -1.79 eV/atom
1.0
-1.1214 -3.1586 -4.1337
3.6862 -4.7170 -0.8214
-7.7571 -8.4584 5.1419
Nd O Na B
2 8 4 2
Cartesian
0.0000 0.0000 0.0000
-2.8765 -8.9566 -0.9400
-0.4700 -3.1101 -2.0219
-2.9864 -11.0523 -1.6343
-2.4065 -5.8465 1.0819
-1.2532 -7.9791 0.1981
-5.0825 -14.2383 0.8811
-6.8951 -9.6250 3.4740
2.0629 -5.6945 -1.9596
-3.7386 -7.7900 0.7279
-4.6972 -5.5334 2.0767
-4.1813 -6.0836 -1.0685
0.1834 -6.0316 -4.0052
-5.9365 -11.8816 2.1251
-2.3158 -7.3773 1.1268
-0.5607 -1.5793 -2.0668

# 5
PBE NaNi2B2, relaxed; energy relative to the elements = 209 meV/atom
1.0
-0.1600 -3.8395 -0.5579
0.8648 0.5090 -3.7512
5.4148 -2.0384 -1.0382
B Na Ni
2 1 2
Cartesian
2.8035 -3.7716 -1.8753
3.3159 -1.5973 -3.4720
0.0000 0.0000 0.0000
2.7742 -1.8438 -1.6205
3.3453 -3.5251 -3.7268

# 6
PBE NaNiB3, relaxed; energy relative to the elements = 3082 meV/atom; polymorph energy (0 for the lowest one) = 2.159 eV/atom
1.0
4.0796 0.0000 0.0000
0.0000 4.0796 0.0000
0.0000 0.0000 4.0796
B Ni Na
3 1 1
Cartesian
0.0000 0.0000 2.0398
2.0398 0.0000 0.0000
0.0000 2.0398 0.0000
2.0398 2.0398 2.0398
0.0000 0.0000 0.0000

# 7
PBE NaNi3B, relaxed; energy relative to the elements = 53 meV/atom
1.0
3.9113 0.0000 0.0000
0.0000 3.9113 0.0000
0.0000 0.0000 3.9113
Ni Na B
3 1 1
Cartesian
1.9557 0.0000 0.0000
0.0000 1.9557 0.0000
0.0000 0.0000 1.9557
1.9557 1.9557 1.9557
0.0000 0.0000 0.0000

# 8
PBE Na3NiB, relaxed; energy relative to the elements = 1224 meV/atom; polymorph energy (0 for the lowest one) = 0.000 eV/atom
1.0
-1.4684 -4.2877 2.0683
4.6974 -1.6563 -0.0986
0.7725 1.9211 4.5311
Na B Ni
3 1 1
Cartesian
0.3863 0.9606 2.2656
-0.7342 -2.1439 1.0341
2.3487 -0.8282 -0.0493
0.0000 0.0000 0.0000
2.0007 -2.0115 3.2504

DOS(E_F)? In order: 0.000; 0.000; 0.446; 0.000; 0.543; 0.766; 0.129; 0.914 states/eV/atom.
Calculated total energy? In order: -7.92; -6.78; -6.92; -6.03; -5.04; -2.34; -5.01; -2.06 eV per atom.
Total moment? In order: 0.0; 0.0; 1.0; 0.0; 0.0; 0.0; 0.0; 0.0 μB per formula unit.